VASP calculation (PBE-GGA) on a relaxed structure of Sc2PdBr.

The structure belongs to space group R-3m (No. 166, hexagonal axes); the cell edges are 4.0334, 4.0334 and 23.5807 Å and the angles 90.00°, 90.00° and 120.00°. The asymmetric unit holds Sc at (0.0000, 0.0000, 0.1118), Pd at (0.0000, 0.0000, 0.5000) and Br at (0.0000, 0.0000, 0.0000).

The uncorrected formation energy is -801 meV/atom. The value obtained for the energy above the lowest structure with this stoichiometry is 0 meV/atom.

VASP calculation (PBE-GGA) on a relaxed structure of ZnCdReAu2.

The structure belongs to space group P4/mmm (No. 123); the cell edges are 4.7142, 4.7142 and 4.7296 Å and the angles 90.00°, 90.00° and 90.00°. The asymmetric unit holds Zn at (0.0000, 0.0000, 0.0000), Cd at (0.5000, 0.5000, 0.5000), Re at (0.0000, 0.0000, 0.5000) and Au at (0.0000, 0.5000, 0.0000).

The value obtained for the formation energy is 1.06 eV/atom.

VASP calculation (PBE-GGA) on a relaxed structure of UPaCl.

The structure belongs to space group Pmmn (No. 59, origin choice 2); the cell edges are 3.6260, 4.8738 and 10.7694 Å and the angles 90.00°, 90.00° and 90.00°. The asymmetric unit holds U at (0.2500, 0.2500, 0.0012), Pa at (0.2500, 0.7500, 0.8259) and Cl at (0.2500, 0.2500, 0.3657).

The uncorrected formation energy is -336 meV/atom.

VASP calculation (PBE-GGA) on a relaxed structure of SrAcP.

The structure belongs to space group F-43m (No. 216); the cell edges are 7.3154, 7.3154 and 7.3154 Å and the angles 90.00°, 90.00° and 90.00°. The asymmetric unit holds Sr at (0.0000, 0.0000, 0.0000), Ac at (0.0000, 0.0000, 0.5000) and P at (0.2500, 0.2500, 0.7500).

The value obtained for the formation energy is -0.68 eV/atom. The value obtained for the energy above the lowest structure with this stoichiometry is 161 meV/atom.

VASP calculation (PBE-GGA) on a relaxed structure of AlZnPtRh.

The structure belongs to space group P4mm (No. 99); the cell edges are 3.0768, 3.0768 and 5.9546 Å and the angles 90.00°, 90.00° and 90.00°. The asymmetric unit holds Al at (0.0000, 0.0000, 0.0000), Zn at (0.0000, 0.0000, 0.5153), Pt at (0.5000, 0.5000, 0.2522) and Rh at (0.5000, 0.5000, 0.7658).

The value obtained for the formation energy is -0.81 eV/atom. The value obtained for the energy above the lowest structure with this stoichiometry is 0 meV/atom.

VASP calculation (PBE-GGA) on a relaxed structure of CuAsPb2.

The structure belongs to space group Cm (No. 8); the cell edges are 6.8951, 3.9757 and 7.6319 Å and the angles 90.00°, 107.07° and 90.00°. The asymmetric unit holds Cu at (0.0000, 0.0000, 0.0000), As at (0.2015, 0.5000, 0.1071), Pb at (0.2541, 0.0000, 0.7573) and Pb at (0.4622, 0.0000, 0.3909).

The value obtained for the formation energy is 0.07 eV/atom.

no.,mass density (g/cm³)
1,4.14
2,11.97
3,8.80
4,5.86
5,11.50
6,9.18